Record 1
This record from Alexandria describes YEr3Sn2C after structural relaxation. The functional is GGA-PBE.

abc: 8.5963 8.5963 8.5963
angles: 147.88 147.67 46.21
Positions (direct):
Y 0.0000 0.0000 0.0000
Er 0.3415 0.8415 0.5000
Er 0.5000 0.5000 0.0000
Er 0.6585 0.1585 0.5000
Sn 0.1412 0.6412 0.5000
Sn 0.8588 0.3588 0.5000
C 0.5000 0.0000 0.5000

Electronic total energy in eV per atom: -6.007
SG: Immm (71)
Formation energy in eV/atom: -0.667

Record 2
This record from Alexandria describes CaI2O6 after structural relaxation. The functional is GGA-PBE.

abc: 4.3564 5.6110 7.2072
angles: 72.68 74.46 70.50
Positions (direct):
Ca 0.0000 0.0000 0.0000
I 0.1849 0.2765 0.3310
I 0.8151 0.7235 0.6690
O 0.0429 0.6326 0.2721
O 0.1952 0.8059 0.6622
O 0.3861 0.1972 0.0902
O 0.6139 0.8028 0.9098
O 0.8048 0.1941 0.3378
O 0.9571 0.3674 0.7279

Electronic total energy in eV per atom: -4.904
SG: P-1 (2)
Uncorrected formation energy in kJ/mol of atoms: -99.6
Polymorph energy (0 for the lowest one) in meV/atom: 20.9

Record 3
This record from Alexandria describes LaYTh4 after structural relaxation. The functional is GGA-PBE.

abc: 6.6728 6.6728 6.6728
angles: 60.00 60.00 60.00
Positions (direct):
La 0.0000 0.0000 0.0000
Y 0.2500 0.2500 0.2500
Th 0.1268 0.6244 0.6244
Th 0.6244 0.1268 0.6244
Th 0.6244 0.6244 0.1268
Th 0.6244 0.6244 0.6244

Electronic total energy in eV per atom: -6.601
SG: F-43m (216)
Formation energy in eV/atom: 0.245
Polymorph energy (0 for the lowest one) in meV/atom: 204.6

Record 4
This record from Alexandria describes Tl3TcPb2O6 after structural relaxation. The functional is GGA-PBE.

abc: 6.1681 6.1681 6.5000
angles: 98.00 98.00 117.41
Positions (direct):
Tl 0.0000 0.0000 0.0000
Tl 0.3347 0.6653 0.0000
Tl 0.6653 0.3347 0.0000
Tc 0.5000 0.5000 0.5000
Pb 0.1708 0.8292 0.5000
Pb 0.8292 0.1708 0.5000
O 0.1743 0.4497 0.3345
O 0.3188 0.3188 0.7124
O 0.4497 0.1743 0.3345
O 0.5503 0.8257 0.6655
O 0.6812 0.6812 0.2876
O 0.8257 0.5503 0.6655

Electronic total energy in eV per atom: -5.492
SG: C2/m (12)
Uncorrected formation energy in kJ/mol of atoms: -90.6

Record 5
This record from Alexandria describes Tb7Sb2Pt2 after structural relaxation. The functional is GGA-PBE.

abc: 6.9749 6.9749 6.9310
angles: 90.00 90.00 102.82
Positions (direct):
Tb 0.0000 0.0000 0.0000
Tb 0.0000 0.5000 0.2524
Tb 0.0000 0.5000 0.7476
Tb 0.5000 0.0000 0.2524
Tb 0.5000 0.0000 0.7476
Tb 0.5000 0.5000 0.2392
Tb 0.5000 0.5000 0.7608
Sb 0.1973 0.1973 0.5000
Sb 0.8027 0.8027 0.5000
Pt 0.2787 0.7213 0.0000
Pt 0.7213 0.2787 0.0000

Electronic total energy in eV per atom: -5.511
SG: Cmmm (65)
Uncorrected formation energy in kJ/mol of atoms: -69.1

Record 6
This record from Alexandria describes Ba2Zn2Cd after structural relaxation. The functional is GGA-PBE.

abc: 6.3897 6.3897 9.0829
angles: 101.12 101.12 61.65
Positions (direct):
Ba 0.0069 0.2905 0.1471
Ba 0.2905 0.0069 0.6471
Ba 0.7095 0.9931 0.3529
Ba 0.9931 0.7095 0.8529
Zn 0.2201 0.5030 0.4996
Zn 0.4970 0.7799 0.0004
Zn 0.5030 0.2201 0.9996
Zn 0.7799 0.4970 0.5004
Cd 0.3698 0.6302 0.2500
Cd 0.6302 0.3698 0.7500

Electronic total energy in eV per atom: -1.665
SG: C2/c (15)
Formation energy in eV/atom: -0.204
Polymorph energy (0 for the lowest one) in meV/atom: 5.3

Record 7
This record from Alexandria describes Li5Mg2Cd2 after structural relaxation. The functional is GGA-PBE.

abc: 9.0433 9.0433 9.0433
angles: 87.20 100.93 149.23
Positions (direct):
Li 0.1779 0.0457 0.2236
Li 0.1779 0.4543 0.6322
Li 0.1890 0.2541 0.4349
Li 0.3094 0.6472 0.9545
Li 0.3094 0.8550 0.1623
Li 0.6927 0.1472 0.8377
Li 0.6927 0.3550 0.0455
Li 0.8192 0.7541 0.5651
Li 0.8221 0.5457 0.3678
Li 0.8221 0.9543 0.7764
Mg 0.4485 0.2530 0.6955
Mg 0.5013 0.0013 0.5000
Mg 0.5013 0.5013 0.0000
Mg 0.5575 0.7530 0.3045
Cd 0.0572 0.6407 0.6944
Cd 0.0572 0.8628 0.9165
Cd 0.9463 0.1407 0.0835
Cd 0.9463 0.3628 0.3056

Electronic total energy in eV per atom: -1.705
SG: Ima2 (46)
Formation energy in eV/atom: -0.084
Polymorph energy (0 for the lowest one) in meV/atom: 0.0

Record 8
This record from Alexandria describes CeYCoRu after structural relaxation. The functional is GGA-PBE.

abc: 4.8190 4.8190 4.8190
angles: 60.00 60.00 60.00
Positions (direct):
Ce 0.0000 0.0000 0.0000
Y 0.5000 0.5000 0.5000
Co 0.7500 0.7500 0.7500
Ru 0.2500 0.2500 0.2500

Electronic total energy in eV per atom: -7.413
SG: F-43m (216)
Formation energy in eV/atom: -0.218